[1]
K2BaCdBiSb | PBE | relaxed

## Properties
Energy relative to the lowest polymorph listed for this composition   0.05 eV/f.u.

Cell: 5.1288 10.0500 8.7199 Å, 90.00 90.00 90.00°
Space group Pmc2_1 (No. 26)
Unique sites:
K 0.0000 0.0813 0.0000
K 0.5000 0.1579 0.6672
Ba 0.5000 0.4498 0.0234
Cd 0.0000 0.3182 0.3646
Bi 0.0000 0.3843 0.7342
Sb 0.5000 0.1792 0.2781



[2]
BaMgCdBi2 | PBE | relaxed

## Properties
DFT total energy   -15.1 eV for the cell shown

Cell: 4.9381 4.9381 8.2940 Å, 90.00 90.00 120.00°
Space group P3m1 (No. 156)
Unique sites:
Ba 0.0000 0.0000 0.0000
Mg 0.3333 0.6667 0.6231
Cd 0.6667 0.3333 0.3732
Bi 0.3333 0.6667 0.2602
Bi 0.6667 0.3333 0.7391